VCl3F PBE+U relaxed; total moment = 1.0 μB per formula unit; ΔE to the lowest computed polymorph = 0.7634 eV/atom; symmetry = Pm-3m (221); calculated total energy = -3.57 eV/atom
1.0
4.736 0.000 0.000
0.000 4.736 0.000
0.000 0.000 4.736
V Cl F
1 3 1
Cartesian
0.000 0.000 0.000
0.000 0.000 2.368
0.000 2.368 0.000
2.368 0.000 0.000
2.368 2.368 2.368